# 1
This record from Alexandria describes K2TaAl after structural relaxation. The functional is PBE-GGA.

```
K2TaAl
1.0
5.395 0.000 0.000
2.697 4.672 0.000
2.697 1.557 4.405
K Al Ta
2 1 1
Cartesian
2.697 1.557 1.101
0.000 0.000 0.000
5.395 3.115 2.202
8.092 4.672 3.304
```

Computed properties:
- Volume: 27.76 A^3/atom
- Energy relative to the elements: 1.30 eV/atom
- ρ: 4.28 g/cm³


# 2
This record from Alexandria describes K4Tb3AlTe8 after structural relaxation. The functional is PBE-GGA.

```
K4Tb3AlTe8
1.0
-6.426 -6.094 -0.863
3.777 -2.780 -8.500
5.365 -0.167 7.098
Te Tb K Al
8 3 4 1
Cartesian
2.222 -2.492 1.051
0.495 -6.548 -3.317
3.041 -6.699 0.334
-0.888 -5.660 0.706
-3.732 -5.573 -3.057
3.605 -3.381 -2.971
6.449 -3.467 0.792
-0.324 -2.341 -2.600
-1.324 -4.437 -4.682
1.358 -4.520 -1.133
4.571 -1.473 -0.701
0.000 0.000 0.000
-0.530 -3.130 3.117
2.683 -0.084 3.549
-3.213 -3.047 -0.432
1.889 -1.390 -4.250
```

Computed properties:
- Volume: 35.31 A^3/atom
- ρ: 4.94 g/cm³
- Formation energy from raw total energies: -1.19 eV per atom


# 3
This record from Alexandria describes K3Tb3AlTe8 after structural relaxation. The functional is PBE-GGA.

```
K3Tb3AlTe8
1.0
8.692 -0.002 -0.001
-4.348 7.536 -0.032
0.000 -4.986 8.603
Tb Al Te K
3 1 8 3
Cartesian
2.172 1.274 4.284
-2.174 1.275 4.285
4.346 -2.494 4.301
0.000 -2.493 4.301
-2.318 3.876 5.960
6.662 -1.329 2.609
2.313 3.875 5.960
-0.001 -0.140 5.976
2.031 -1.327 2.609
4.345 2.688 2.592
4.345 0.026 6.102
-0.001 2.521 2.467
0.000 0.000 0.000
2.172 3.767 -0.017
-2.174 3.768 -0.016
```

Computed properties:
- Volume: 37.47 A^3/atom
- ρ: 4.85 g/cm³
- Formation energy from raw total energies: -1.11 eV per atom


# 4
This record from Alexandria describes KAlTc after structural relaxation. The functional is PBE-GGA.

```
KAlTc
1.0
-6.283 1.478 -1.796
-5.978 -2.981 0.509
5.730 2.661 2.229
Tc Al K
1 1 1
Cartesian
-7.452 -0.914 -0.783
-0.744 -0.091 -0.078
-4.065 -0.498 -0.427
```

Computed properties:
- Volume: 24.05 A^3/atom
- Energy relative to the elements: 0.50 eV/atom
- E above lowest polymorph: 0.000 eV/atom
- ρ: 3.78 g/cm³


# 5
This record from Alexandria describes K2AlTc after structural relaxation. The functional is PBE-GGA.

```
K2AlTc
1.0
-0.433 -11.584 5.967
3.471 -5.857 -11.118
3.891 -8.490 -1.957
Al K Tc
2 4 2
Cartesian
1.519 -8.720 -2.576
4.440 -11.534 -7.825
2.762 -15.934 -2.210
2.969 -17.228 2.378
1.028 -12.975 3.334
3.194 -11.451 -0.634
2.488 -14.397 0.717
0.000 0.000 0.000
```

Computed properties:
- Volume: 52.32 A^3/atom
- Energy relative to the elements: 0.99 eV/atom
- ρ: 1.61 g/cm³


# 6
This record from Alexandria describes KAlTc after structural relaxation. The functional is PBE-GGA.

```
KAlTc
1.0
8.261 -0.032 0.026
7.647 2.705 -0.043
0.614 -0.691 2.650
K Al Tc
1 1 1
Cartesian
10.860 1.563 0.863
15.565 2.597 0.042
6.003 0.494 1.710
```

Computed properties:
- Volume: 19.81 A^3/atom
- Energy relative to the elements: 0.64 eV/atom
- E above lowest polymorph: 0.142 eV/atom
- ρ: 4.58 g/cm³


# 7
This record from Alexandria describes KAlTc3 after structural relaxation. The functional is PBE-GGA.

```
KAlTc3
1.0
4.741 0.000 0.000
0.000 4.741 0.000
0.000 0.000 4.741
K Tc Al
1 3 1
Cartesian
2.370 2.370 2.370
0.000 0.000 2.370
0.000 2.370 0.000
2.370 0.000 0.000
0.000 0.000 0.000
```

Computed properties:
- Volume: 21.31 A^3/atom
- Energy relative to the elements: 1.68 eV/atom
- E above lowest polymorph: 0.000 eV/atom
- ρ: 5.61 g/cm³


# 8
This record from Alexandria describes KAlTc after structural relaxation. The functional is PBE-GGA.

```
KAlTc
1.0
-0.078 -1.608 -2.428
2.559 0.862 1.094
0.367 -6.729 4.443
Tc Al K
1 1 1
Cartesian
1.938 -4.695 3.046
0.351 -6.431 4.247
0.926 -3.077 0.259
```

Computed properties:
- Volume: 19.78 A^3/atom
- Energy relative to the elements: 0.67 eV/atom
- E above lowest polymorph: 0.173 eV/atom
- ρ: 4.59 g/cm³


# 9
This record from Alexandria describes K2AlTc after structural relaxation. The functional is PBE-GGA.

```
K2AlTc
1.0
-6.396 0.100 -0.915
-3.616 -4.021 -3.537
4.659 0.301 4.467
Al K Tc
1 2 1
Cartesian
-3.371 -0.780 0.663
0.000 0.000 0.000
-5.006 -1.961 -2.226
-1.981 -2.840 -0.648
```

Computed properties:
- Volume: 22.97 A^3/atom
- Energy relative to the elements: 1.00 eV/atom
- ρ: 3.67 g/cm³


# 10
This record from Alexandria describes KAlTc after structural relaxation. The functional is PBE-GGA.

```
KAlTc
1.0
8.032 0.000 0.000
7.064 3.824 0.000
-7.548 -1.912 1.972
Tc K Al
1 1 1
Cartesian
9.727 2.464 0.000
5.020 1.271 0.000
0.350 0.089 0.000
```

Computed properties:
- Volume: 20.20 A^3/atom
- Energy relative to the elements: 0.63 eV/atom
- E above lowest polymorph: 0.133 eV/atom
- ρ: 4.50 g/cm³


# 11
This record from Alexandria describes KAlTc4 after structural relaxation. The functional is PBE-GGA.

```
KAlTc4
1.0
0.000 3.744 3.744
3.744 0.000 3.744
3.744 3.744 0.000
Tc K Al
4 1 1
Cartesian
2.813 2.813 2.813
2.813 4.675 4.675
4.675 2.813 4.675
4.675 4.675 2.813
0.000 0.000 0.000
5.616 5.616 5.616
```

Computed properties:
- Volume: 17.49 A^3/atom
- Energy relative to the elements: 0.79 eV/atom
- ρ: 7.25 g/cm³


# 12
This record from Alexandria describes KAlTc3 after structural relaxation. The functional is PBE-GGA.

```
KAlTc3
1.0
-3.855 -2.340 0.113
1.068 -1.561 4.096
-2.085 3.527 1.888
K Tc Al
1 3 1
Cartesian
0.000 0.000 0.000
-1.928 -1.170 0.057
-1.043 1.764 0.944
0.534 -0.780 2.048
-2.436 -0.187 3.048
```

Computed properties:
- Volume: 18.36 A^3/atom
- Energy relative to the elements: 2.91 eV/atom
- E above lowest polymorph: 1.236 eV/atom
- ρ: 6.51 g/cm³